Record 1
This record from the Alexandria database describes a relaxed structure of TiIN2O. The functional is PBE.

Cell: 4.176 4.176 3.731 Å, 90.00 90.00 90.00°
Fractional positions:
1 N 0.500 0.000 0.000
2 N 0.000 0.500 0.000
3 I 0.500 0.500 0.500
4 O 0.000 0.000 0.500
5 Ti 0.000 0.000 0.000

## Properties
SG: P4/mmm, No. 123
E_form (uncorrected): 0.15 eV per atom
theoretical density: 5.584 g/cm3
DOS at the Fermi energy: 0.4968 states/eV per atom
VASP energy: -30.3 eV per formula unit
crystal system: tetragonal

---

Record 2
This record from the Alexandria database describes a relaxed structure of CaSnHgBi. The functional is PBE.

Cell: 4.452 5.098 4.965 Å, 90.00 90.00 90.00°
Fractional positions:
1 Bi 0.500 0.500 0.000
2 Ca 0.000 0.500 0.500
3 Hg 0.500 0.000 0.500
4 Sn 0.000 0.000 0.000

## Properties
SG: Pmmm, No. 47
energy relative to the elements: -1.56 eV/f.u.
theoretical density: 8.374 g/cm3
DOS at the Fermi energy: 0.3499 states/eV per atom
VASP energy: -11.7 eV per formula unit
relative energy among the computed polymorphs: 0.0 meV per atom
crystal system: orthorhombic